This record from Alexandria describes an optimized crystal structure of Pu4Zn. The functional is GGA-PBE.

```
Pu4Zn
1.0
5.492 0.000 0.000
0.000 5.492 0.000
0.000 0.000 5.492
Pu Zn
4 1
direct
0.500 0.000 0.500 Pu
0.000 0.000 0.000 Pu
0.500 0.500 0.000 Pu
0.000 0.500 0.500 Pu
0.500 0.500 0.500 Zn
```

Calculated values
space group	Pm-3m (221)
energy of formation from the pure elements	0.713	eV/atom